A plane-wave DFT calculation with GGA+U was carried out for a relaxed Rb2HoCrO6 crystal.

Output
**V**: 201 Å³ per cell
**Final energy**: -59.9 eV for the cell shown

Cell and atoms, written as CIF:
```
data_Rb2HoCrO6
_space_group_name_H-M_alt 'P 1'
_space_group_IT_number 1
_cell_length_a 6.409
_cell_length_b 6.409
_cell_length_c 5.649
_cell_angle_alpha 90.00
_cell_angle_beta 90.00
_cell_angle_gamma 120.00
loop_
_space_group_symop_operation_xyz
'x,y,z'
loop_
_atom_site_label
_atom_site_type_symbol
_atom_site_fract_x
_atom_site_fract_y
_atom_site_fract_z
Rb1 Rb 0.333 0.667 0.377
Rb2 Rb 0.667 0.333 0.623
Ho1 Ho 0.000 0.000 0.000
Cr1 Cr 0.000 0.000 0.500
O1 O 0.133 0.266 0.699
O2 O 0.133 0.867 0.699
O3 O 0.266 0.133 0.301
O4 O 0.734 0.867 0.699
O5 O 0.867 0.133 0.301
O6 O 0.867 0.734 0.301
```